No. 1
## Rb2AgHgBi (PBE-GGA)

Data for Rb2AgHgBi after structural relaxation.

Geometry as POSCAR:
```
Rb2AgHgBi
1.0
6.8133 0.0000 0.0000
0.0000 6.8133 0.0000
0.0000 0.0000 5.3226
Rb Ag Hg Bi
2 1 1 1
Direct
0.0000 0.5000 0.0000 Rb
0.5000 0.0000 0.0000 Rb
0.0000 0.0000 0.0000 Ag
0.5000 0.5000 0.5000 Hg
0.0000 0.0000 0.5000 Bi
```

The raw total energy is -1.8703 eV/atom. As for the crystal system: tetragonal.



No. 2
## Bi2Te2Se (PBE-GGA)

Data for Bi2Te2Se after structural relaxation.

Geometry as POSCAR:
```
Bi2Te2Se
1.0
4.3474 0.0000 0.0000
-2.1737 3.7650 0.0000
0.0000 0.0000 31.6766
Bi Te Se
6 6 3
Direct
0.0000 0.0000 0.1080 Bi
0.0000 0.0000 0.8920 Bi
0.3333 0.6667 0.5587 Bi
0.3333 0.6667 0.7746 Bi
0.6667 0.3333 0.2254 Bi
0.6667 0.3333 0.4413 Bi
0.0000 0.0000 0.2813 Te
0.0000 0.0000 0.7187 Te
0.3333 0.6667 0.3853 Te
0.3333 0.6667 0.9480 Te
0.6667 0.3333 0.0520 Te
0.6667 0.3333 0.6147 Te
0.0000 0.0000 0.5000 Se
0.3333 0.6667 0.1667 Se
0.6667 0.3333 0.8333 Se
```

Its energy above the most stable polymorph in this dataset is 0.0 meV per atom. The raw total energy is -3.8127 eV/atom. As for the crystal system: trigonal. Its formation energy without anion corrections is -0.307 eV per atom.



No. 3
## Zr2ScBr (PBE-GGA)

Data for Zr2ScBr after structural relaxation.

Geometry as POSCAR:
```
Zr2ScBr
1.0
4.2064 0.0000 0.0000
0.0000 4.2064 0.0000
0.0000 0.0000 10.2683
Zr Sc Br
4 2 2
Direct
0.0000 0.5000 0.2500 Zr
0.0000 0.5000 0.7500 Zr
0.5000 0.0000 0.2500 Zr
0.5000 0.0000 0.7500 Zr
0.0000 0.0000 0.0000 Sc
0.5000 0.5000 0.5000 Sc
0.0000 0.0000 0.5000 Br
0.5000 0.5000 0.0000 Br
```

The raw total energy is -6.1422 eV/atom. As for the crystal system: tetragonal. Its formation energy without anion corrections is 0.133 eV per atom.



No. 4
## Er4HfN5 (PBE-GGA)

Data for Er4HfN5 after structural relaxation.

Geometry as POSCAR:
```
Er4HfN5
1.0
-3.7698 3.7698 2.3877
3.7698 -3.7698 2.3877
3.7698 3.7698 -2.3877
Er Hf N
4 1 5
Direct
0.1002 0.7005 0.8007 Er
0.2995 0.1002 0.3997 Er
0.7005 0.8998 0.6003 Er
0.8998 0.2995 0.1993 Er
0.5000 0.5000 0.0000 Hf
0.0000 0.0000 0.0000 N
0.2137 0.4047 0.6184 N
0.4047 0.7863 0.1911 N
0.5953 0.2137 0.8089 N
0.7863 0.5953 0.3816 N
```

The raw total energy is -8.7955 eV/atom. As for the crystal system: tetragonal. Its formation energy without anion corrections is -1.812 eV per atom.



No. 5
## LuThTlAg (PBE-GGA)

Data for LuThTlAg after structural relaxation.

Geometry as POSCAR:
```
LuThTlAg
1.0
7.5196 0.0000 0.0000
0.0000 7.5196 0.0000
0.0000 0.0000 7.5196
Lu Th Tl Ag
4 4 4 4
Direct
0.0000 0.0000 0.0000 Lu
0.0000 0.5000 0.5000 Lu
0.5000 0.0000 0.5000 Lu
0.5000 0.5000 0.0000 Lu
0.0000 0.0000 0.5000 Th
0.0000 0.5000 0.0000 Th
0.5000 0.0000 0.0000 Th
0.5000 0.5000 0.5000 Th
0.2500 0.2500 0.2500 Tl
0.2500 0.7500 0.7500 Tl
0.7500 0.2500 0.7500 Tl
0.7500 0.7500 0.2500 Tl
0.2500 0.2500 0.7500 Ag
0.2500 0.7500 0.2500 Ag
0.7500 0.2500 0.2500 Ag
0.7500 0.7500 0.7500 Ag
```

The raw total energy is -4.4384 eV/atom. As for the crystal system: cubic.



No. 6
## Ba2ZrCu (PBE-GGA)

Data for Ba2ZrCu after structural relaxation.

Geometry as POSCAR:
```
Ba2ZrCu
1.0
8.2810 0.0000 0.0000
0.0000 8.2810 0.0000
0.0000 0.0000 8.2810
Ba Zr Cu
8 4 4
Direct
0.2500 0.2500 0.2500 Ba
0.2500 0.2500 0.7500 Ba
0.2500 0.7500 0.2500 Ba
0.2500 0.7500 0.7500 Ba
0.7500 0.2500 0.2500 Ba
0.7500 0.2500 0.7500 Ba
0.7500 0.7500 0.2500 Ba
0.7500 0.7500 0.7500 Ba
0.0000 0.0000 0.0000 Zr
0.0000 0.5000 0.5000 Zr
0.5000 0.0000 0.5000 Zr
0.5000 0.5000 0.0000 Zr
0.0000 0.0000 0.5000 Cu
0.0000 0.5000 0.0000 Cu
0.5000 0.0000 0.0000 Cu
0.5000 0.5000 0.5000 Cu
```

Its energy above the most stable polymorph in this dataset is 471.7 meV per atom. The raw total energy is -3.3877 eV/atom. As for the crystal system: cubic.



No. 7
## BaSn3I8 (PBE-GGA)

Data for BaSn3I8 after structural relaxation.

Geometry as POSCAR:
```
BaSn3I8
1.0
7.9882 -4.7441 0.0000
7.9882 4.7441 0.0000
-5.2625 0.0000 7.7428
Ba Sn I
1 3 8
Direct
0.0000 0.0000 0.0000 Ba
0.0000 0.5000 0.5000 Sn
0.5000 0.0000 0.5000 Sn
0.5000 0.5000 0.0000 Sn
0.2535 0.2535 0.7426 I
0.2597 0.2597 0.2760 I
0.2597 0.7280 0.7441 I
0.2720 0.7403 0.2559 I
0.7280 0.2597 0.7441 I
0.7403 0.2720 0.2559 I
0.7403 0.7403 0.7240 I
0.7465 0.7465 0.2574 I
```

The raw total energy is -3.0077 eV/atom. As for the crystal system: monoclinic. Its formation energy without anion corrections is -0.813 eV per atom.



No. 8
## CaAc8Sm2 (PBE-GGA)

Data for CaAc8Sm2 after structural relaxation.

Geometry as POSCAR:
```
CaAc8Sm2
1.0
-2.9360 4.9564 8.2724
2.9360 -4.9564 8.2724
2.9360 4.9564 -8.2724
Ca Ac Sm
1 8 2
Direct
0.0000 0.0000 0.0000 Ca
0.1265 0.8391 0.2874 Ac
0.1477 0.6477 0.5000 Ac
0.3141 0.5000 0.8141 Ac
0.4483 0.1609 0.2874 Ac
0.5517 0.8391 0.7126 Ac
0.6859 0.5000 0.1859 Ac
0.8523 0.3523 0.5000 Ac
0.8735 0.1609 0.7126 Ac
0.2956 0.2956 0.0000 Sm
0.7044 0.7044 0.0000 Sm
```

The raw total energy is -3.9072 eV/atom. As for the crystal system: orthorhombic.



No. 9
## Ti5In2Sn2 (PBE-GGA)

Data for Ti5In2Sn2 after structural relaxation.

Geometry as POSCAR:
```
Ti5In2Sn2
1.0
-8.9075 2.6758 3.8308
8.9075 -2.6758 3.8308
8.9075 2.6758 -3.8308
Ti In Sn
10 4 4
Direct
0.0939 0.0966 0.1905 Ti
0.0939 0.4034 0.4972 Ti
0.3143 0.4862 0.1617 Ti
0.3143 0.6526 0.3281 Ti
0.3245 0.1526 0.8383 Ti
0.3245 0.9862 0.6719 Ti
0.5083 0.3828 0.6254 Ti
0.7574 0.8828 0.3746 Ti
0.9061 0.5966 0.5028 Ti
0.9061 0.9034 0.8095 Ti
0.0864 0.7380 0.8483 In
0.3179 0.3179 0.0000 In
0.3179 0.8179 0.5000 In
0.8897 0.2380 0.1517 In
0.5747 0.0548 0.3247 Sn
0.5747 0.7500 0.0199 Sn
0.7301 0.2500 0.6753 Sn
0.7301 0.5548 0.9801 Sn
```

The raw total energy is -5.9344 eV/atom. As for the crystal system: orthorhombic.



No. 10
## YZnCu2Te (PBE-GGA)

Data for YZnCu2Te after structural relaxation.

Geometry as POSCAR:
```
YZnCu2Te
1.0
4.8329 0.0000 0.0000
0.0000 4.8329 0.0000
0.0000 0.0000 5.2035
Y Zn Cu Te
1 1 2 1
Direct
0.0000 0.0000 0.0000 Y
0.5000 0.5000 0.0000 Zn
0.0000 0.5000 0.5000 Cu
0.5000 0.0000 0.5000 Cu
0.5000 0.5000 0.5000 Te
```

The raw total energy is -3.3264 eV/atom. As for the crystal system: tetragonal. Its formation energy without anion corrections is 0.488 eV per atom.



No. 11
## CeCd6Hg2 (PBE-GGA)

Data for CeCd6Hg2 after structural relaxation.

Geometry as POSCAR:
```
CeCd6Hg2
1.0
7.8591 -4.5154 0.0000
7.8591 4.5154 0.0000
-0.5876 0.0000 3.0463
Ce Cd Hg
1 6 2
Direct
0.0000 0.0000 0.0000 Ce
0.0035 0.3440 0.6718 Cd
0.3299 0.6701 0.5000 Cd
0.3440 0.0035 0.6718 Cd
0.6560 0.9965 0.3282 Cd
0.6701 0.3299 0.5000 Cd
0.9965 0.6560 0.3282 Cd
0.3473 0.3473 0.8435 Hg
0.6527 0.6527 0.1565 Hg
```

The raw total energy is -1.4159 eV/atom. As for the crystal system: monoclinic.



No. 12
## CdCoSeBr2 (PBE-GGA)

Data for CdCoSeBr2 after structural relaxation.

Geometry as POSCAR:
```
CdCoSeBr2
1.0
5.0106 0.0000 0.0000
0.0000 5.0106 0.0000
0.0000 0.0000 4.6927
Cd Co Se Br
1 1 1 2
Direct
0.0000 0.0000 0.0000 Cd
0.5000 0.5000 0.5000 Co
0.5000 0.5000 0.0000 Se
0.0000 0.5000 0.5000 Br
0.5000 0.0000 0.5000 Br
```

Its energy above the most stable polymorph in this dataset is 0.0 meV per atom. The raw total energy is -2.9266 eV/atom. As for the crystal system: tetragonal. Its formation energy without anion corrections is 0.044 eV per atom.



No. 13
## Ca2YHoS4 (PBE-GGA)

Data for Ca2YHoS4 after structural relaxation.

Geometry as POSCAR:
```
Ca2YHoS4
1.0
6.8111 0.0000 0.0000
0.0000 3.9360 0.0000
-2.2749 0.0000 6.5414
Ca Y Ho S
2 1 1 4
Direct
0.0000 0.0000 0.0000 Ca
0.5000 0.5000 0.0000 Ca
0.0000 0.5000 0.5000 Y
0.5000 0.0000 0.5000 Ho
0.2500 0.0000 0.7449 S
0.2533 0.5000 0.2561 S
0.7467 0.5000 0.7439 S
0.7500 0.0000 0.2551 S
```

The raw total energy is -5.9978 eV/atom. As for the crystal system: monoclinic. Its formation energy without anion corrections is -2.053 eV per atom.